Entry from the Alexandria database: a relaxed CrOs3Se crystal (PBE-GGA).

abc: 4.4764 4.4764 4.4764
angles: 90.00 90.00 90.00
Last column: nearest neighbours and their distance in Å.
Atoms (fractional coordinates):
1 Cr 0.0000 0.0000 0.0000  6 Os 2.24
2 Os 0.0000 0.0000 0.5000  2 Cr 2.24
3 Os 0.0000 0.5000 0.0000  2 Cr 2.24
4 Os 0.5000 0.0000 0.0000  2 Cr 2.24
5 Se 0.5000 0.5000 0.5000  12 Os 3.17

Values from the calculation:
Space group: Pm-3m, No. 221
Energy above the lowest structure with this stoichiometry, meV/atom: 0
Uncorrected energy, eV/atom: -7.424
Formation energy from raw total energies, eV/atom: 1.93
N(E_F), states/eV per cell: 8.93